Run P
A geometry-optimized La4TbSm structure. Source: the Alexandria database, functional GGA-PBE.

a = 12.4480 Å, b = 5.8434 Å, c = 12.4080 Å
α = 90.00°, β = 110.26°, γ = 90.00°
Closest atoms and distances in Å follow each position.
Space group C2/c (No. 15)
Asymmetric unit:
La1 0.0465 0.2501 0.4542 (multiplicity 8)  5 La 3.37-3.57, 1 Sm 3.77
La2 0.2119 0.2485 0.2890 (multiplicity 8)  5 La 3.32-3.57
Tb1 0.2500 0.2500 0.0000 (multiplicity 4)  2 Sm 3.55, 12 La 3.78-3.92
Sm1 0.0000 0.2508 0.7500 (multiplicity 4)  2 Tb 3.55, 12 La 3.77-3.91

M_tot = 0.0 μB per formula unit
Crystal system = monoclinic
Calculated volume = 35.279 A^3/atom

Run Q
A geometry-optimized La4TbSm structure. Source: the Alexandria database, functional GGA-PBE.

a = 6.1428 Å, b = 11.3655 Å, c = 6.1298 Å
α = 90.00°, β = 90.00°, γ = 90.00°
Closest atoms and distances in Å follow each position.
Space group Cmmm (No. 65)
Asymmetric unit:
La1 0.0000 0.1576 0.0000 (multiplicity 4)  2 Tb 3.55, 3 Sm 3.56-3.89, 5 La 3.58-3.72
La2 0.0000 0.3417 0.5000 (multiplicity 4)  2 Sm 3.55, 3 Tb 3.56-3.88, 5 La 3.60-3.71
Tb1 0.0000 0.0000 0.5000 (multiplicity 2)  10 La 3.55-3.88
Sm1 0.0000 0.5000 0.0000 (multiplicity 2)  10 La 3.55-3.89

M_tot = 0.0 μB per formula unit
Crystal system = orthorhombic
Calculated volume = 35.663 A^3/atom

Sorted by energy, starting with the most stable: run P, run Q.

Run P
A geometry-optimized La12TbSm7 structure. Source: the Alexandria database, functional GGA-PBE.

a = 19.7128 Å, b = 19.7128 Å, c = 6.4267 Å
α = 90.00°, β = 90.00°, γ = 120.00°
Closest atoms and distances in Å follow each position.
Space group R-3m (No. 166, hexagonal axes)
Asymmetric unit:
La1 0.0000 0.4076 0.0000 (multiplicity 18)  3 La 3.32-3.64, 2 Sm 3.38
La2 0.0965 0.5483 0.4783 (multiplicity 18)  1 La 3.31, 4 Sm 3.36-3.67
Tb1 0.0000 0.0000 0.5000 (multiplicity 3)  8 Sm 3.13-3.21
Sm1 0.0000 0.0000 0.0000 (multiplicity 3)  2 Tb 3.21, 6 Sm 3.45
Sm2 0.0836 0.1673 0.3010 (multiplicity 18)  1 Tb 3.13, 4 La 3.36-3.49, 1 Sm 3.45

M_tot = 0.0 μB per formula unit
Crystal system = trigonal
Calculated volume = 36.046 A^3/atom

Run Q
A geometry-optimized La12TbSm7 structure. Source: the Alexandria database, functional GGA-PBE.

a = 12.5814 Å, b = 12.5814 Å, c = 15.5902 Å
α = 90.00°, β = 90.00°, γ = 120.00°
Closest atoms and distances in Å follow each position.
Space group R-3 (No. 148, hexagonal axes)
Asymmetric unit:
La1 0.0168 0.5767 0.2216 (multiplicity 18)  3 La 3.24-3.46
La2 0.0648 0.4704 0.5784 (multiplicity 18)  4 La 3.23-3.46, 1 Sm 3.33
Tb1 0.0000 0.0000 0.5000 (multiplicity 3)  6 La 3.66, 6 Sm 3.68
Sm1 0.0000 0.0000 0.0000 (multiplicity 3)  6 La 3.33
Sm2 0.0547 0.8699 0.3049 (multiplicity 18)  3 Sm 3.49-3.58, 1 Tb 3.68, 6 La 3.71-3.82

M_tot = 0.0 μB per formula unit
Crystal system = trigonal
Calculated volume = 35.620 A^3/atom

Sorted by energy, starting with the most stable: run P, run Q.

Run P
A geometry-optimized LaTb4Sm5 structure. Source: the Alexandria database, functional GGA-PBE.

a = 10.3359 Å, b = 10.3359 Å, c = 6.3325 Å
α = 90.00°, β = 90.00°, γ = 90.00°
Closest atoms and distances in Å follow each position.
Space group I4 (No. 79)
Asymmetric unit:
La1 0.0000 0.0000 0.0000 (multiplicity 2)  1 Sm 2.91
Tb1 0.0473 0.3490 0.7667 (multiplicity 8)  4 Sm 3.24-3.59, 1 Tb 3.27
Sm1 0.0000 0.0000 0.5403 (multiplicity 2)  1 La 2.91
Sm2 0.1499 0.2314 0.2726 (multiplicity 8)  4 Tb 3.24-3.59, 1 Sm 3.32, 1 La 3.33

M_tot = 0.0 μB per formula unit
Crystal system = tetragonal
Calculated volume = 33.825 A^3/atom

Run Q
A geometry-optimized LaTb4Sm5 structure. Source: the Alexandria database, functional GGA-PBE.

a = 3.6199 Å, b = 9.5462 Å, c = 10.2260 Å
α = 105.74°, β = 90.12°, γ = 100.82°
Closest atoms and distances in Å follow each position.
Space group P-1 (No. 2)
Asymmetric unit:
La1 0.0000 0.0000 0.0000 (multiplicity 1)  6 Tb 3.61-3.63, 2 La 3.62, 4 Sm 3.64
Tb1 0.2005 0.4007 0.1005 (multiplicity 2)  5 Sm 3.57-3.61, 1 La 3.61, 6 Tb 3.61-3.62
Tb2 0.3988 0.7978 0.6985 (multiplicity 2)  6 Sm 3.58-3.65, 4 Tb 3.61-3.62, 2 La 3.62-3.63
Sm1 0.0000 0.0000 0.5000 (multiplicity 1)  8 Sm 3.61-3.62, 4 Tb 3.62-3.63
Sm2 0.1999 0.4003 0.5998 (multiplicity 2)  5 Tb 3.58-3.61, 7 Sm 3.60-3.62
Sm3 0.3983 0.7968 0.2002 (multiplicity 2)  4 Tb 3.57-3.65, 6 Sm 3.60-3.62, 2 La 3.64

M_tot = 0.0 μB per formula unit
Crystal system = triclinic
Calculated volume = 33.355 A^3/atom

Sorted by energy, starting with the most stable: run Q, run P.

Run P
A geometry-optimized LaTbSm4 structure. Source: the Alexandria database, functional GGA-PBE.

a = 12.0624 Å, b = 3.6447 Å, c = 10.2674 Å
α = 90.00°, β = 115.08°, γ = 90.00°
Closest atoms and distances in Å follow each position.
Space group C2/m (No. 12)
Asymmetric unit:
La1 0.0000 0.0000 0.0000 (multiplicity 2)  2 La 3.64, 10 Sm 3.65-3.66
Tb1 0.0000 0.0000 0.5000 (multiplicity 2)  10 Sm 3.62-3.63, 2 Tb 3.64
Sm1 0.1664 0.5000 0.8304 (multiplicity 4)  2 Tb 3.62, 7 Sm 3.63-3.68, 3 La 3.65
Sm2 0.1674 0.5000 0.3366 (multiplicity 4)  7 Sm 3.59-3.65, 3 Tb 3.62-3.63, 2 La 3.66

M_tot = 0.0 μB per formula unit
Crystal system = monoclinic
Calculated volume = 34.070 A^3/atom

Run Q
A geometry-optimized LaTbSm4 structure. Source: the Alexandria database, functional GGA-PBE.

a = 9.4693 Å, b = 9.4693 Å, c = 9.4693 Å
α = 90.00°, β = 90.00°, γ = 90.00°
Closest atoms and distances in Å follow each position.
Space group F-43m (No. 216)
Asymmetric unit:
La1 0.0000 0.0000 0.0000 (multiplicity 4)  12 Sm 3.93, 4 Tb 4.10
Tb1 0.2500 0.2500 0.7500 (multiplicity 4)  12 Sm 3.92, 4 La 4.10
Sm1 0.1242 0.1242 0.3758 (multiplicity 16)  6 Sm 3.33-3.37

M_tot = 0.0 μB per formula unit
Crystal system = cubic
Calculated volume = 35.379 A^3/atom

Sorted by energy, starting with the most stable: run P, run Q.

Run P
A geometry-optimized La5Tb2Sm2 structure. Source: the Alexandria database, functional GGA-PBE.

a = 3.6815 Å, b = 5.2145 Å, c = 16.8024 Å
α = 98.89°, β = 96.21°, γ = 90.01°
Closest atoms and distances in Å follow each position.
Space group P-1 (No. 2)
Asymmetric unit:
La1 0.0000 0.0000 0.0000 (multiplicity 1)  10 La 3.68-3.72, 2 Sm 3.73
La2 0.2224 0.2225 0.4444 (multiplicity 2)  1 Sm 3.61, 5 Tb 3.67-3.68, 6 La 3.68
La3 0.4418 0.4424 0.8851 (multiplicity 2)  1 Tb 3.60, 4 Sm 3.68, 7 La 3.68-3.79
Tb1 0.3327 0.3336 0.6668 (multiplicity 2)  6 La 3.60-3.68, 4 Sm 3.65, 2 Tb 3.68
Sm1 0.1141 0.1128 0.2258 (multiplicity 2)  6 La 3.61-3.73, 4 Tb 3.65, 2 Sm 3.68

M_tot = 0.0 μB per formula unit
Crystal system = triclinic
Calculated volume = 35.198 A^3/atom

Run Q
A geometry-optimized La5Tb2Sm2 structure. Source: the Alexandria database, functional GGA-PBE.

a = 15.0722 Å, b = 11.8555 Å, c = 6.9914 Å
α = 90.00°, β = 90.00°, γ = 90.00°
Closest atoms and distances in Å follow each position.
Space group Ima2 (No. 46)
Asymmetric unit:
La1 0.0511 0.2295 0.0000 (multiplicity 8)  2 La 3.15-3.24, 1 Tb 3.28, 1 Sm 3.45
La2 0.1445 0.7264 0.3407 (multiplicity 8)  2 La 3.15-3.18, 2 Tb 3.37-3.52, 1 Sm 3.44
La3 0.2500 0.2457 0.8253 (multiplicity 4)  4 La 3.24-3.50, 1 Sm 3.30
Tb1 0.1291 0.5068 0.6770 (multiplicity 8)  3 La 3.28-3.52, 1 Sm 3.59, 1 Tb 3.64
Sm1 0.0000 0.0000 0.6451 (multiplicity 4)  6 La 3.45-3.76, 2 Sm 3.77, 2 Tb 3.81
Sm2 0.2500 0.5046 0.1196 (multiplicity 4)  3 La 3.30-3.44, 2 Tb 3.59

M_tot = 0.0 μB per formula unit
Crystal system = orthorhombic
Calculated volume = 34.702 A^3/atom

Sorted by energy, starting with the most stable: run P, run Q.

Run P
A geometry-optimized La3Tb3Sm structure. Source: the Alexandria database, functional GGA-PBE.

a = 9.5257 Å, b = 9.5257 Å, c = 18.8882 Å
α = 90.00°, β = 90.00°, γ = 120.00°
Closest atoms and distances in Å follow each position.
Space group R-3 (No. 148, hexagonal axes)
Asymmetric unit:
La1 0.0502 0.8077 0.0775 (multiplicity 18)  5 Tb 3.45-3.64, 1 Sm 3.56, 4 La 3.61-3.66
Tb1 0.0498 0.8144 0.2603 (multiplicity 18)  3 Tb 3.45-3.54, 5 La 3.45-3.64, 2 Sm 3.47-3.62
Sm1 0.0000 0.0000 0.4089 (multiplicity 6)  1 Sm 3.44, 6 Tb 3.47-3.62, 3 La 3.56

M_tot = 0.0 μB per formula unit
Crystal system = trigonal
Calculated volume = 35.340 A^3/atom

Run Q
A geometry-optimized La3Tb3Sm structure. Source: the Alexandria database, functional GGA-PBE.

a = 9.8114 Å, b = 9.8114 Å, c = 5.8598 Å
α = 90.00°, β = 90.00°, γ = 120.00°
Closest atoms and distances in Å follow each position.
Space group P6_3/m (No. 176)
Asymmetric unit:
La1 0.0961 0.4723 0.2500 (multiplicity 6)  3 Sm 3.63-3.72, 5 Tb 3.64-3.79, 4 La 3.67-3.72
Tb1 0.0455 0.2319 0.7500 (multiplicity 6)  6 Tb 3.60-3.62, 5 La 3.64-3.79, 1 Sm 3.76
Sm1 0.3333 0.6667 0.7500 (multiplicity 2)  9 La 3.63-3.72, 3 Tb 3.76

M_tot = 0.0 μB per formula unit
Crystal system = hexagonal
Calculated volume = 34.893 A^3/atom

Sorted by energy, starting with the most stable: run Q, run P.

Run P
A geometry-optimized La7TbSm12 structure. Source: the Alexandria database, functional GGA-PBE.

a = 12.3426 Å, b = 12.3426 Å, c = 16.1816 Å
α = 90.00°, β = 90.00°, γ = 120.00°
Closest atoms and distances in Å follow each position.
Space group R-3 (No. 148, hexagonal axes)
Asymmetric unit:
La1 0.0000 0.0000 0.0000 (multiplicity 3)  6 Sm 3.37
La2 0.0527 0.8697 0.2890 (multiplicity 18)  3 La 3.49-3.65, 7 Sm 3.57-3.91
Tb1 0.0000 0.0000 0.5000 (multiplicity 3)  6 Sm 3.50
Sm1 0.0256 0.5790 0.2202 (multiplicity 18)  3 Sm 3.29-3.51, 1 Tb 3.50, 2 La 3.61-3.65
Sm2 0.0534 0.4662 0.5830 (multiplicity 18)  4 Sm 3.28-3.51, 2 La 3.37-3.57

M_tot = 0.0 μB per formula unit
Crystal system = trigonal
Calculated volume = 35.581 A^3/atom

Run Q
A geometry-optimized La7TbSm12 structure. Source: the Alexandria database, functional GGA-PBE.

a = 11.5427 Å, b = 11.5427 Å, c = 11.5427 Å
α = 90.00°, β = 90.00°, γ = 90.00°
Closest atoms and distances in Å follow each position.
Space group Im-3 (No. 204)
Asymmetric unit:
La1 0.0000 0.0000 0.5000 (multiplicity 6)  12 Sm 4.07-4.13
La2 0.2500 0.2500 0.2500 (multiplicity 8)  6 Sm 2.89
Tb1 0.0000 0.0000 0.0000 (multiplicity 2)  12 Sm 4.03
Sm1 0.0000 0.2473 0.2465 (multiplicity 24)  2 La 2.89

M_tot = 0.0 μB per formula unit
Crystal system = cubic
Calculated volume = 38.447 A^3/atom

Sorted by energy, starting with the most stable: run P, run Q.

Run P
A geometry-optimized LaTb12Sm7 structure. Source: the Alexandria database, functional GGA-PBE.

a = 12.2853 Å, b = 12.2853 Å, c = 15.4962 Å
α = 90.00°, β = 90.00°, γ = 120.00°
Closest atoms and distances in Å follow each position.
Space group R-3 (No. 148, hexagonal axes)
Asymmetric unit:
La1 0.0000 0.0000 0.0000 (multiplicity 3)  6 Sm 3.33
Tb1 0.0169 0.4439 0.2067 (multiplicity 18)  4 Sm 3.26-3.51, 2 Tb 3.49-3.64
Tb2 0.0443 0.1865 0.3002 (multiplicity 18)  3 Sm 3.44-3.79, 6 Tb 3.49-3.80
Sm1 0.0000 0.0000 0.5000 (multiplicity 3)  12 Tb 3.51-3.73
Sm2 0.0515 0.5865 0.5874 (multiplicity 18)  4 Tb 3.26-3.48, 1 Sm 3.28, 1 La 3.33

M_tot = 0.0 μB per formula unit
Crystal system = trigonal
Calculated volume = 33.758 A^3/atom

Run Q
A geometry-optimized LaTb12Sm7 structure. Source: the Alexandria database, functional GGA-PBE.

a = 11.3718 Å, b = 11.3718 Å, c = 11.3718 Å
α = 90.00°, β = 90.00°, γ = 90.00°
Closest atoms and distances in Å follow each position.
Space group Im-3m (No. 229)
Asymmetric unit:
La1 0.0000 0.0000 0.0000 (multiplicity 2)  12 Tb 4.08
Tb1 0.0000 0.2535 0.2535 (multiplicity 24)  2 Sm 2.84
Sm1 0.0000 0.0000 0.5000 (multiplicity 6)  12 Tb 3.96-4.02
Sm2 0.2500 0.2500 0.2500 (multiplicity 8)  6 Tb 2.84

M_tot = 0.0 μB per formula unit
Crystal system = cubic
Calculated volume = 36.765 A^3/atom

Sorted by energy, starting with the most stable: run P, run Q.